1.
Crystalline BaZrNbAg2 at its relaxed geometry, computed with GGA-PBE.

Unit cell a=5.228 b=5.463 c=5.228 alpha=90.00 beta=90.00 gamma=90.00
Site moments in Bohr magnetons follow the coordinates.
Fractional positions:
Ag 0.500 0.000 0.000  -0.03
Ag 0.000 0.000 0.500  -0.03
Ba 0.000 0.500 0.000  0.06
Zr 0.500 0.500 0.500  1.18
Nb 0.000 0.000 0.000  -0.58

Computed properties:
The value obtained for the formation energy is 32.38 kcal/mol of atoms. The symmetry is P4/mmm. As for the theoretical density: 6.0 Mg/m³.

2.
Crystalline Ba2NdAg at its relaxed geometry, computed with GGA-PBE.

Unit cell a=4.002 b=4.002 c=12.603 alpha=80.86 beta=80.86 gamma=60.00
Site moments in Bohr magnetons follow the coordinates.
Fractional positions:
Ba 0.101 0.101 0.697  0.02
Ba 0.899 0.899 0.303  0.02
Nd 0.000 0.000 0.000  0.24
Ag 0.500 0.500 0.500  0.00

Computed properties:
The offset from the most stable computed form is 237.6 meV per atom. The value obtained for the formation energy is 6.18 kcal/mol of atoms. The symmetry is R-3m. As for the theoretical density: 5.1 Mg/m³.

3.
Crystalline BaNd2Ag3 at its relaxed geometry, computed with GGA-PBE.

Unit cell a=3.866 b=3.866 c=11.630 alpha=90.00 beta=90.00 gamma=90.00
Fractional positions:
Ba 0.500 0.500 0.500
Ag 0.000 0.000 0.703
Nd 0.500 0.500 0.840
Ag 0.000 0.000 0.000
Ag 0.000 0.000 0.297
Nd 0.500 0.500 0.160

Computed properties:
The value obtained for the formation energy is -5.33 kcal/mol of atoms. The symmetry is P4/mmm. As for the theoretical density: 7.2 Mg/m³.